Entry 1:
# Nd12CoRh6 (PBE-GGA, relaxed)
# size of the total moment	0.00	μB per formula unit
# formation enthalpy at 0 K	-0.449	eV per atom
data_Nd12CoRh6
_cell_length_a 12.6742
_cell_length_b 12.6742
_cell_length_c 11.8558
_cell_angle_alpha 90.00
_cell_angle_beta 90.00
_cell_angle_gamma 120.00
_symmetry_space_group_name_H-M 'R -3'
_symmetry_Int_Tables_number 148
_symmetry_space_group_name_Hall '-R 3'
loop_
_atom_site_label
_atom_site_type_symbol
_atom_site_fract_x
_atom_site_fract_y
_atom_site_fract_z
Nd1 Nd 0.0247 0.2148 0.3920
Nd2 Nd 0.0399 0.1997 0.8816
Co1 Co 0.0000 0.0000 0.0000
Rh1 Rh 0.0448 0.2651 0.6470

---

Entry 2:
# BeReH2N (PBE-GGA, relaxed)
# size of the total moment	0.01	μB per formula unit
# raw total energy	-5.75	eV per atom
data_BeReH2N
_cell_length_a 2.868
_cell_length_b 2.868
_cell_length_c 5.457
_cell_angle_alpha 90.00
_cell_angle_beta 90.00
_cell_angle_gamma 90.00
_symmetry_space_group_name_H-M 'P 4/m m m'
_symmetry_Int_Tables_number 123
_symmetry_space_group_name_Hall '-P 4 2'
loop_
_atom_site_label
_atom_site_type_symbol
_atom_site_fract_x
_atom_site_fract_y
_atom_site_fract_z
Be1 Be 0.000 0.000 0.000
Re1 Re 0.000 0.000 0.500
H1 H 0.000 0.500 0.000
N1 N 0.500 0.500 0.500

---

Entry 3:
# Ac3Pr8Tm (PBE-GGA, relaxed)
# size of the total moment	0.00	μB per formula unit
# formation enthalpy at 0 K	0.228	eV per atom
data_Ac3Pr8Tm
_cell_length_a 6.835
_cell_length_b 11.847
_cell_length_c 11.909
_cell_angle_alpha 90.00
_cell_angle_beta 90.00
_cell_angle_gamma 90.00
_symmetry_space_group_name_H-M 'I m m m'
_symmetry_Int_Tables_number 71
_symmetry_space_group_name_Hall '-I 2 2'
loop_
_atom_site_label
_atom_site_type_symbol
_atom_site_fract_x
_atom_site_fract_y
_atom_site_fract_z
Ac1 Ac 0.000 0.000 0.000
Ac2 Ac 0.000 0.243 0.500
Pr1 Pr 0.000 0.255 0.169
Pr2 Pr 0.234 0.000 0.270
Tm1 Tm 0.000 0.500 0.000

---

Entry 4:
# KTc2Ru (PBE-GGA, relaxed)
# size of the total moment	0.44	μB per formula unit
# excess energy over the best structure of this formula in the dataset	194	meV/atom
# formation enthalpy at 0 K	0.943	eV per atom
data_KTc2Ru
_cell_length_a 9.217
_cell_length_b 2.779
_cell_length_c 6.742
_cell_angle_alpha 90.00
_cell_angle_beta 95.77
_cell_angle_gamma 90.00
_symmetry_space_group_name_H-M 'C 1 2/m 1'
_symmetry_Int_Tables_number 12
loop_
_symmetry_equiv_pos_as_xyz
'x,y,z'
'-x,-y,-z'
'-x,y,-z'
'x,-y,z'
'x+1/2,y+1/2,z'
'-x+1/2,-y+1/2,-z'
'-x+1/2,y+1/2,-z'
'x+1/2,-y+1/2,z'
loop_
_atom_site_label
_atom_site_type_symbol
_atom_site_fract_x
_atom_site_fract_y
_atom_site_fract_z
K1 K 0.000 0.000 0.000
Tc1 Tc 0.221 0.000 0.644
Ru1 Ru 0.000 0.500 0.500

---

Entry 5:
# Ac4Bi2SeS (PBE-GGA, relaxed)
# size of the total moment	0.00	μB per formula unit
# formation energy (no corrections)	-11.461	eV per formula unit
data_Ac4Bi2SeS
_cell_length_a 7.987
_cell_length_b 4.659
_cell_length_c 8.063
_cell_angle_alpha 90.00
_cell_angle_beta 109.66
_cell_angle_gamma 90.00
_symmetry_space_group_name_H-M 'P 1 2/m 1'
_symmetry_Int_Tables_number 10
loop_
_symmetry_equiv_pos_as_xyz
'x,y,z'
'-x,-y,-z'
'-x,y,-z'
'x,-y,z'
loop_
_atom_site_label
_atom_site_type_symbol
_atom_site_fract_x
_atom_site_fract_y
_atom_site_fract_z
Ac1 Ac 0.228 0.000 0.238
Ac2 Ac 0.230 0.500 0.749
Bi1 Bi 0.500 0.000 0.000
Bi2 Bi 0.500 0.500 0.500
Se1 Se 0.000 0.000 0.500
S1 S 0.000 0.500 0.000

---

Entry 6:
# PmLuSiAu (PBE-GGA, relaxed)
# size of the total moment	0.26	μB per formula unit
# formation energy (no corrections)	-2.494	eV per formula unit
data_PmLuSiAu
_cell_length_a 7.168
_cell_length_b 7.168
_cell_length_c 7.168
_cell_angle_alpha 90.00
_cell_angle_beta 90.00
_cell_angle_gamma 90.00
_symmetry_space_group_name_H-M 'F -4 3 m'
_symmetry_Int_Tables_number 216
_symmetry_space_group_name_Hall 'F -4 2 3'
loop_
_atom_site_label
_atom_site_type_symbol
_atom_site_fract_x
_atom_site_fract_y
_atom_site_fract_z
Pm1 Pm 0.000 0.000 0.000
Lu1 Lu 0.000 0.000 0.500
Si1 Si 0.250 0.250 0.250
Au1 Au 0.250 0.250 0.750

---

Entry 7:
# AcPd3Au9 (PBE-GGA, relaxed)
# size of the total moment	0.00	μB per formula unit
# formation enthalpy at 0 K	-0.313	eV per atom
data_AcPd3Au9
_cell_length_a 5.686
_cell_length_b 13.288
_cell_length_c 7.194
_cell_angle_alpha 90.00
_cell_angle_beta 112.29
_cell_angle_gamma 90.00
_symmetry_space_group_name_H-M 'C 1 2/m 1'
_symmetry_Int_Tables_number 12
loop_
_symmetry_equiv_pos_as_xyz
'x,y,z'
'-x,-y,-z'
'-x,y,-z'
'x,-y,z'
'x+1/2,y+1/2,z'
'-x+1/2,-y+1/2,-z'
'-x+1/2,y+1/2,-z'
'x+1/2,-y+1/2,z'
loop_
_atom_site_label
_atom_site_type_symbol
_atom_site_fract_x
_atom_site_fract_y
_atom_site_fract_z
Ac1 Ac 0.000 0.000 0.000
Pd1 Pd 0.000 0.000 0.500
Pd2 Pd 0.250 0.250 0.000
Au1 Au 0.000 0.500 0.500
Au2 Au 0.109 0.390 0.217
Au3 Au 0.156 0.174 0.342

---

Entry 8:
# Na4Cd5Pb2 (PBE-GGA, relaxed)
# size of the total moment	0.00	μB per formula unit
# excess energy over the best structure of this formula in the dataset	25	meV/atom
# formation enthalpy at 0 K	-0.085	eV per atom
data_Na4Cd5Pb2
_cell_length_a 8.115
_cell_length_b 3.374
_cell_length_c 10.850
_cell_angle_alpha 90.00
_cell_angle_beta 93.97
_cell_angle_gamma 90.00
_symmetry_space_group_name_H-M 'P 1 2/m 1'
_symmetry_Int_Tables_number 10
loop_
_symmetry_equiv_pos_as_xyz
'x,y,z'
'-x,-y,-z'
'-x,y,-z'
'x,-y,z'
loop_
_atom_site_label
_atom_site_type_symbol
_atom_site_fract_x
_atom_site_fract_y
_atom_site_fract_z
Na1 Na 0.161 0.000 0.404
Na2 Na 0.297 0.000 0.947
Cd1 Cd 0.218 0.500 0.668
Cd2 Cd 0.436 0.500 0.218
Cd3 Cd 0.500 0.500 0.500
Pb1 Pb 0.057 0.500 0.149

---

Entry 9:
# Tb2PbSe (PBE-GGA, relaxed)
# size of the total moment	0.00	μB per formula unit
# excess energy over the best structure of this formula in the dataset	31	meV/atom
# formation energy (no corrections)	-4.354	eV per formula unit
data_Tb2PbSe
_cell_length_a 3.9123
_cell_length_b 3.9123
_cell_length_c 24.8494
_cell_angle_alpha 90.00
_cell_angle_beta 90.00
_cell_angle_gamma 120.00
_symmetry_space_group_name_H-M 'R 3 m'
_symmetry_Int_Tables_number 160
_symmetry_space_group_name_Hall 'R 3 -2"'
loop_
_atom_site_label
_atom_site_type_symbol
_atom_site_fract_x
_atom_site_fract_y
_atom_site_fract_z
Tb1 Tb 0.0000 0.0000 0.0000
Tb2 Tb 0.0000 0.0000 0.1936
Pb1 Pb 0.0000 0.0000 0.4295
Se1 Se 0.0000 0.0000 0.5975

---

Entry 10:
# Sr3TlO (PBE-GGA, relaxed)
# size of the total moment	0.00	μB per formula unit
# formation energy (no corrections)	-5.974	eV per formula unit
data_Sr3TlO
_cell_length_a 7.095
_cell_length_b 7.128
_cell_length_c 7.271
_cell_angle_alpha 90.00
_cell_angle_beta 117.44
_cell_angle_gamma 90.00
_symmetry_space_group_name_H-M 'P 1 21/m 1'
_symmetry_Int_Tables_number 11
loop_
_symmetry_equiv_pos_as_xyz
'x,y,z'
'-x,-y,-z'
'-x,y+1/2,-z'
'x,-y+1/2,z'
loop_
_atom_site_label
_atom_site_type_symbol
_atom_site_fract_x
_atom_site_fract_y
_atom_site_fract_z
Sr1 Sr 0.196 0.004 0.245
Sr2 Sr 0.297 0.250 0.813
Tl1 Tl 0.259 0.750 0.699
O1 O 0.057 0.250 0.960

---

Entry 11:
# SmAl4OsPt2 (PBE-GGA, relaxed)
# size of the total moment	0.00	μB per formula unit
# formation enthalpy at 0 K	-0.793	eV per atom
data_SmAl4OsPt2
_cell_length_a 4.2536
_cell_length_b 4.2536
_cell_length_c 26.4837
_cell_angle_alpha 90.00
_cell_angle_beta 90.00
_cell_angle_gamma 120.00
_symmetry_space_group_name_H-M 'R -3 m'
_symmetry_Int_Tables_number 166
_symmetry_space_group_name_Hall '-R 3 2"'
loop_
_atom_site_label
_atom_site_type_symbol
_atom_site_fract_x
_atom_site_fract_y
_atom_site_fract_z
Sm1 Sm 0.0000 0.0000 0.0000
Al1 Al 0.0000 0.0000 0.1345
Al2 Al 0.0000 0.0000 0.4037
Os1 Os 0.0000 0.0000 0.5000
Pt1 Pt 0.0000 0.0000 0.2358

---

Entry 12:
# Mg5CuPd2 (PBE-GGA, relaxed)
# size of the total moment	0.00	μB per formula unit
# formation enthalpy at 0 K	-0.406	eV per atom
data_Mg5CuPd2
_cell_length_a 5.654
_cell_length_b 11.070
_cell_length_c 4.423
_cell_angle_alpha 90.00
_cell_angle_beta 90.00
_cell_angle_gamma 90.00
_symmetry_space_group_name_H-M 'P b a m'
_symmetry_Int_Tables_number 55
loop_
_symmetry_equiv_pos_as_xyz
'x,y,z'
'-x,-y,-z'
'-x,-y,z'
'x,y,-z'
'x+1/2,-y+1/2,-z'
'-x+1/2,y+1/2,z'
'-x+1/2,y+1/2,-z'
'x+1/2,-y+1/2,z'
loop_
_atom_site_label
_atom_site_type_symbol
_atom_site_fract_x
_atom_site_fract_y
_atom_site_fract_z
Mg1 Mg 0.000 0.000 0.000
Mg2 Mg 0.103 0.267 0.000
Mg3 Mg 0.179 0.607 0.500
Cu1 Cu 0.000 0.500 0.000
Pd1 Pd 0.168 0.863 0.500

---

Question: Among the records above, which one has the highest size of the total moment?
Answer: KTc2Ru

---

Question: Look up the size of the total moment of the eighth one.
Answer: 0.00 μB per formula unit